1.
VASP calculation (GGA-PBE) on crystalline Pr2NdGa2Fe4 at its relaxed geometry.

Magnetization = 0.608 μB per atom
Space group = C2/m (12)
ρ = 7.39 Mg/m³

a b c (Å): 5.606 5.606 8.271
angles (deg): 99.93 99.93 43.96
Site moments in Bohr magnetons follow the coordinates.
Element x y z (fractional)
Fe  0.753  0.753  0.077  1.55
Fe  0.918  0.918  0.366  1.82
Fe  0.082  0.082  0.634  1.82
Fe  0.247  0.247  0.923  1.55
Ga  0.325  0.325  0.224  -0.07
Ga  0.675  0.675  0.776  -0.07
Nd  0.000  0.000  0.000  -0.21
Pr  0.625  0.625  0.377  -0.18
Pr  0.375  0.375  0.623  -0.18

---

2.
VASP calculation (GGA-PBE) on crystalline NaLuAsIr at its relaxed geometry.

Magnetization = 0.000 μB per atom
Space group = F-43m (216)
ρ = 10.13 Mg/m³
Distance to the lowest polymorph of the same formula = 113 meV per atom

a b c (Å): 4.759 4.759 4.759
angles (deg): 60.00 60.00 60.00
Element x y z (fractional)
As  0.500  0.500  0.500
Ir  0.000  0.000  0.000
Lu  0.250  0.250  0.250
Na  0.750  0.750  0.750

---

3.
VASP calculation (GGA-PBE) on crystalline AuSe2Br at its relaxed geometry.

Space group = Cm (8)
ρ = 6.91 Mg/m³

a b c (Å): 6.593 6.593 4.486
angles (deg): 104.01 104.01 33.62
Element x y z (fractional)
Au  0.405  0.405  0.033
Br  0.648  0.648  0.928
Se  0.982  0.982  0.398
Se  0.825  0.825  0.663

---

4.
VASP calculation (GGA-PBE) on crystalline LaErIn2Ni4 at its relaxed geometry.

Magnetization = 0.001 μB per atom
Space group = Pmm2 (25)
ρ = 8.64 Mg/m³

a b c (Å): 4.039 5.183 7.076
angles (deg): 90.00 90.00 90.00
Element x y z (fractional)
Er  0.500  0.500  0.739
In  0.000  0.500  0.360
In  0.000  0.000  0.653
La  0.500  0.000  0.265
Ni  0.500  0.500  0.115
Ni  0.500  0.000  0.885
Ni  0.000  0.260  0.991
Ni  0.000  0.740  0.991

---

5.
VASP calculation (GGA-PBE) on crystalline Ta5W8 at its relaxed geometry.

Magnetization = 0.000 μB per atom
Energy of formation from the pure elements = 0.18 eV per atom
Space group = R-3m (166)
ρ = 17.31 Mg/m³
Distance to the lowest polymorph of the same formula = 122 meV per atom

a b c (Å): 9.969 9.969 9.969
angles (deg): 30.62 30.62 30.62
Element x y z (fractional)
Ta  0.000  0.000  0.000
Ta  0.168  0.168  0.168
Ta  0.453  0.453  0.453
Ta  0.547  0.547  0.547
Ta  0.832  0.832  0.832
W  0.586  0.092  0.092
W  0.092  0.586  0.092
W  0.351  0.351  0.351
W  0.908  0.908  0.414
W  0.092  0.092  0.586
W  0.649  0.649  0.649
W  0.908  0.414  0.908
W  0.414  0.908  0.908

---

6.
VASP calculation (GGA-PBE) on crystalline NaTaTe2AuS at its relaxed geometry.

Magnetization = 0.080 μB per atom
Space group = Cmcm (63)
ρ = 6.74 Mg/m³

a b c (Å): 9.204 9.204 9.521
angles (deg): 90.00 90.00 155.14
Site moments in Bohr magnetons follow the coordinates.
Element x y z (fractional)
Au  0.139  0.861  0.250  0.01
Au  0.861  0.139  0.750  0.01
Na  0.756  0.244  0.250  0.00
Na  0.244  0.756  0.750  0.00
S  0.501  0.499  0.250  -0.03
S  0.499  0.501  0.750  -0.03
Ta  0.500  0.500  0.000  0.31
Ta  0.500  0.500  0.500  0.31
Te  0.883  0.117  0.022  0.01
Te  0.883  0.117  0.478  0.01
Te  0.117  0.883  0.522  0.01
Te  0.117  0.883  0.978  0.01

---

| no. | energy (eV per atom) |
| --- | --- |
| 1 | -6.075 |
| 2 | -5.145 |
| 3 | -3.074 |
| 4 | -5.099 |
| 5 | -12.351 |
| 6 | -4.874 |